The following is a meta-GGA SCAN calculation of CdOsSe at its PBEsol-relaxed geometry, from Alexandria via LeMat-Bulk.

Properties
Size of the total moment   0.00 μB/cell
Total energy   -121.34 eV for the cell shown

a = 3.0967 Å, b = 3.0967 Å, c = 6.4405 Å
α = 90.00°, β = 90.00°, γ = 120.00°
Closest atoms and distances in Å follow each position.
Positions (direct):
Cd 0.0000 0.0000 0.9809  3 Os 2.84, 6 Cd 3.10, 3 Se 3.13
Os 0.3333 0.6667 0.6388  3 Se 2.44
Se 0.6667 0.3333 0.3804  3 Os 2.44